1.
VASP calculation (GGA-PBE) on an optimized crystal structure of FeSiBr2.

The structure in POSCAR format:
```
FeSiBr2
1.0
3.3799 0.0000 0.0000
0.0000 3.3799 0.0000
0.0000 0.0000 8.7812
Fe Si Br
1 1 2
Direct
0.0000 0.0000 0.0000
0.5000 0.5000 0.9153
0.0000 0.0000 0.2599
0.5000 0.5000 0.6609
```

Calculated values
The value obtained for the density of states at the Fermi level is 2.36 states/eV/cell. Its space-group type is P4mm, No. 99.

2.
VASP calculation (GGA-PBE) on an optimized crystal structure of FeSiBr2.

The structure in POSCAR format:
```
FeSiBr2
1.0
8.1553 -1.7386 0.0000
8.1553 1.7386 0.0000
-0.6808 0.0000 3.4112
Fe Si Br
1 1 2
Direct
0.0000 0.0000 0.0000
0.5000 0.5000 0.5000
0.3647 0.3647 0.8760
0.6353 0.6353 0.1240
```

Calculated values
The value obtained for the density of states at the Fermi level is 1.69 states/eV/cell. Its space-group type is C2/m, No. 12.

Values for electronic total energy, eV per cell, ordered as above
-17.5; -17.0
Values for formation energy from raw total energies, eV/atom, ordered as above
-0.062; 0.053